No. 1
First-principles (PBE) data for NaSnI2 after structural relaxation, as listed in Alexandria.

POSCAR file:
```
NaSnI2
1.0
4.623 -4.454 0.000
4.623 4.454 0.000
-0.010 0.000 4.037
Na Sn I
1 1 2
direct
0.000 0.000 0.000 Na
0.643 0.643 0.496 Sn
0.155 0.657 0.499 I
0.657 0.155 0.499 I
```

ΔE_f (raw) (kJ per mole of atoms): -55.0
Space-group type: Cm, No. 8
Energy relative to the lowest polymorph listed for this composition (kcal/mol of atoms): 2.89

---

No. 2
First-principles (PBE) data for KIn5Hg2 after structural relaxation, as listed in Alexandria.

POSCAR file:
```
KIn5Hg2
1.0
6.331 -4.242 0.000
6.331 4.242 0.000
-1.763 0.000 4.394
K In Hg
1 5 2
direct
0.000 0.000 0.000 K
0.177 0.550 0.368 In
0.450 0.823 0.632 In
0.500 0.500 0.000 In
0.550 0.177 0.368 In
0.823 0.450 0.632 In
0.236 0.236 0.749 Hg
0.764 0.764 0.251 Hg
```

Formation energy from the elements (kJ per mole of atoms): -7.9
Space-group type: C2/m, No. 12

---

No. 3
First-principles (PBE) data for Al3TlTe after structural relaxation, as listed in Alexandria.

POSCAR file:
```
Al3TlTe
1.0
5.293 0.000 0.000
0.000 5.293 0.000
0.000 0.000 5.293
Al Tl Te
3 1 1
direct
0.000 0.000 0.500 Al
0.000 0.500 0.000 Al
0.500 0.000 0.000 Al
0.000 0.000 0.000 Tl
0.500 0.500 0.500 Te
```

ΔE_f (raw) (kJ per mole of atoms): 62.8
Space-group type: Pm-3m, No. 221
Energy relative to the lowest polymorph listed for this composition (kcal/mol of atoms): 0.00

---

No. 4
First-principles (PBE) data for Re5Ru after structural relaxation, as listed in Alexandria.

POSCAR file:
```
Re5Ru
1.0
0.000 3.603 3.603
3.603 0.000 3.603
3.603 3.603 0.000
Re Ru
5 1
direct
0.000 0.000 0.000 Re
0.375 0.375 0.375 Re
0.375 0.375 0.874 Re
0.375 0.874 0.375 Re
0.874 0.375 0.375 Re
0.750 0.750 0.750 Ru
```

Formation energy from the elements (kJ per mole of atoms): 36.6
Space-group type: F-43m, No. 216
Energy relative to the lowest polymorph listed for this composition (kcal/mol of atoms): 9.61

---

No. 5
First-principles (PBE) data for HfV2Zn after structural relaxation, as listed in Alexandria.

POSCAR file:
```
HfV2Zn
1.0
-3.580 3.580 2.625
3.580 -3.580 2.625
3.580 3.580 -2.625
Hf V Zn
2 4 2
direct
0.000 0.000 0.000 Hf
0.750 0.250 0.500 Hf
0.148 0.625 0.023 V
0.375 0.398 0.523 V
0.602 0.125 0.977 V
0.875 0.852 0.477 V
0.250 0.750 0.500 Zn
0.500 0.500 0.000 Zn
```

Formation energy from the elements (kJ per mole of atoms): 53.2
Space-group type: I-42d, No. 122

---

No. 6
First-principles (PBE) data for VGe2Ir after structural relaxation, as listed in Alexandria.

POSCAR file:
```
VGe2Ir
1.0
-1.933 1.933 8.729
1.933 -1.933 8.729
1.933 1.933 -8.729
V Ge Ir
2 4 2
direct
0.000 0.000 0.000 V
0.750 0.250 0.500 V
0.124 0.625 0.999 Ge
0.375 0.374 0.499 Ge
0.626 0.125 0.001 Ge
0.875 0.876 0.501 Ge
0.250 0.750 0.500 Ir
0.500 0.500 0.000 Ir
```

Formation energy from the elements (kJ per mole of atoms): 12.5
Space-group type: I-42d, No. 122

---

No. 7
First-principles (PBE) data for Y2TaC after structural relaxation, as listed in Alexandria.

POSCAR file:
```
Y2TaC
1.0
1.686 0.974 8.936
-1.686 0.974 8.936
0.000 -1.947 8.936
Y Ta C
2 1 1
direct
0.115 0.115 0.115 Y
0.885 0.885 0.885 Y
0.000 0.000 0.000 Ta
0.500 0.500 0.500 C
```

Formation energy from the elements (kJ per mole of atoms): 45.4
Space-group type: R-3m, No. 166

---

No. 8
First-principles (PBE) data for CdRe2TeI after structural relaxation, as listed in Alexandria.

POSCAR file:
```
CdRe2TeI
1.0
5.024 0.000 0.000
0.000 5.024 0.000
0.000 0.000 6.002
Cd Re Te I
1 2 1 1
direct
0.000 0.000 0.000 Cd
0.000 0.500 0.500 Re
0.500 0.000 0.500 Re
0.000 0.000 0.500 Te
0.500 0.500 0.000 I
```

ΔE_f (raw) (kJ per mole of atoms): 192.2
Space-group type: P4/mmm, No. 123

---

No. 9
First-principles (PBE) data for PuZn3In after structural relaxation, as listed in Alexandria.

POSCAR file:
```
PuZn3In
1.0
5.812 0.000 0.000
0.000 5.561 0.000
-0.125 0.000 6.173
Pu Zn In
2 6 2
direct
0.147 0.250 0.120 Pu
0.853 0.750 0.880 Pu
0.368 0.750 0.040 Zn
0.373 0.002 0.675 Zn
0.373 0.498 0.675 Zn
0.627 0.502 0.325 Zn
0.627 0.998 0.325 Zn
0.632 0.250 0.960 Zn
0.066 0.750 0.384 In
0.934 0.250 0.616 In
```

Formation energy from the elements (kJ per mole of atoms): -7.1
Space-group type: P2_1/m, No. 11

---

No. 10
First-principles (PBE) data for ReHOs2Ru after structural relaxation, as listed in Alexandria.

POSCAR file:
```
ReHOs2Ru
1.0
3.913 0.000 0.000
0.000 3.913 0.000
0.000 0.000 3.892
Re H Os Ru
1 1 2 1
direct
0.000 0.000 0.000 Re
0.500 0.500 0.500 H
0.000 0.500 0.500 Os
0.500 0.000 0.500 Os
0.500 0.500 0.000 Ru
```

Space-group type: P4/mmm, No. 123
VASP energy (eV per atom): -9.362

---

No. 11
First-principles (PBE) data for ErCuRh after structural relaxation, as listed in Alexandria.

POSCAR file:
```
ErCuRh
1.0
4.294 0.000 0.000
-2.147 3.719 0.000
0.000 0.000 3.449
Er Cu Rh
1 1 1
direct
0.000 0.000 0.000 Er
0.667 0.333 0.500 Cu
0.333 0.667 0.500 Rh
```

Formation energy from the elements (kJ per mole of atoms): -48.2
Space-group type: P-6m2, No. 187
Energy relative to the lowest polymorph listed for this composition (kcal/mol of atoms): 2.11

---

No. 12
First-principles (PBE) data for Th3GeAs2Rh9 after structural relaxation, as listed in Alexandria.

POSCAR file:
```
Th3GeAs2Rh9
1.0
5.715 0.000 0.000
-2.858 4.950 0.000
0.000 0.000 10.586
Th Ge As Rh
3 1 2 9
direct
0.000 0.000 0.000 Th
0.333 0.667 0.603 Th
0.667 0.333 0.397 Th
0.000 0.000 0.500 Ge
0.333 0.667 0.165 As
0.667 0.333 0.835 As
0.000 0.500 0.000 Rh
0.164 0.328 0.325 Rh
0.164 0.836 0.325 Rh
0.328 0.164 0.675 Rh
0.500 0.000 0.000 Rh
0.500 0.500 0.000 Rh
0.672 0.836 0.325 Rh
0.836 0.164 0.675 Rh
0.836 0.672 0.675 Rh
```

Formation energy from the elements (kJ per mole of atoms): -59.9
Space-group type: P-3m1, No. 164

---

no.,magnetization (μB per formula unit)
1,0.00
2,0.00
3,0.00
4,0.00
5,0.00
6,0.88
7,0.86
8,4.80
9,5.91
10,0.00
11,0.00
12,0.00